(1)
Crystalline Re2OsRu at its relaxed geometry, computed with GGA-PBE.

abc: 3.2422 3.2422 5.6544
angles: 90.00 90.00 90.00
Last column: nearest neighbours and their distance in Å.
Atoms (fractional coordinates):
Re  0.0000  0.0000  0.0000  4 Os 2.71, 4 Re 2.74, 2 Ru 2.78-2.88
Re  0.5000  0.5000  0.2638  4 Ru 2.68, 2 Os 2.72-2.93, 4 Re 2.74
Os  0.5000  0.5000  0.7450  4 Ru 2.65, 6 Re 2.71-2.93
Ru  0.0000  0.0000  0.5091  4 Os 2.65, 6 Re 2.68-2.88

Output
ΔE_f = 0.443 eV/atom
relative energy among the computed polymorphs = 534 meV/atom
symmetry = P4mm, No. 99


(2)
Crystalline Re3OsRu2 at its relaxed geometry, computed with GGA-PBE.

abc: 2.7390 7.2409 9.5118
angles: 70.79 89.98 79.17
Last column: nearest neighbours and their distance in Å.
Atoms (fractional coordinates):
Re  0.0823  0.3327  0.3737  2 Os 2.73, 3 Ru 2.74, 7 Re 2.74-2.76
Re  0.0823  0.3337  0.8765  4 Os 2.72-2.73, 3 Ru 2.73-2.75, 5 Re 2.74-2.76
Re  0.4156  0.6695  0.3742  3 Ru 2.70-2.72, 9 Re 2.74-2.77
Re  0.5844  0.3305  0.6258  3 Ru 2.70-2.72, 9 Re 2.74-2.77
Re  0.9177  0.6663  0.1235  4 Os 2.72-2.73, 3 Ru 2.73-2.75, 5 Re 2.74-2.76
Re  0.9177  0.6673  0.6263  2 Os 2.73, 3 Ru 2.74, 7 Re 2.74-2.76
Os  0.4189  0.6644  0.8751  6 Re 2.72-2.73, 3 Os 2.72-2.74, 3 Ru 2.75-2.76
Os  0.5811  0.3356  0.1249  6 Re 2.72-2.73, 3 Os 2.72-2.74, 3 Ru 2.75-2.76
Ru  0.2493  0.0012  0.6254  5 Re 2.71-2.74, 6 Ru 2.73-2.76, 1 Os 2.75
Ru  0.2512  0.9979  0.1269  4 Re 2.70-2.75, 6 Ru 2.73-2.77, 2 Os 2.76
Ru  0.7488  0.0021  0.8731  4 Re 2.70-2.75, 6 Ru 2.73-2.77, 2 Os 2.76
Ru  0.7507  0.9988  0.3746  5 Re 2.71-2.74, 6 Ru 2.73-2.76, 1 Os 2.75

Output
ΔE_f = 0.069 eV/atom
symmetry = P-1, No. 2


(3)
Crystalline ReOs2Ru at its relaxed geometry, computed with GGA-PBE.

abc: 4.7311 4.7311 4.7297
angles: 99.63 99.63 33.54
Last column: nearest neighbours and their distance in Å.
Atoms (fractional coordinates):
Re  0.0000  0.0000  0.0000  6 Os 2.72-2.74, 2 Re 2.73, 4 Ru 2.73
Os  0.2510  0.2510  0.7511  3 Re 2.72-2.74, 6 Os 2.72-2.74, 3 Ru 2.73-2.74
Os  0.7490  0.7490  0.2489  3 Re 2.72-2.74, 6 Os 2.72-2.74, 3 Ru 2.73-2.74
Ru  0.5000  0.5000  0.5000  6 Os 2.73-2.74, 2 Ru 2.73, 4 Re 2.73

Output
ΔE_f = 0.083 eV/atom
relative energy among the computed polymorphs = 148 meV/atom
symmetry = C2/m, No. 12


(4)
Crystalline ReOsRu2 at its relaxed geometry, computed with GGA-PBE.

abc: 4.7077 4.7077 2.7284
angles: 90.00 90.00 109.18
Last column: nearest neighbours and their distance in Å.
Atoms (fractional coordinates):
Re  0.0000  0.0000  0.0000  8 Ru 2.72, 2 Os 2.73, 2 Re 2.73
Os  0.5000  0.5000  0.0000  8 Ru 2.72, 2 Re 2.73, 2 Os 2.73
Ru  0.0000  0.5000  0.5000  4 Re 2.72, 4 Os 2.72, 4 Ru 2.73
Ru  0.5000  0.0000  0.5000  4 Re 2.72, 4 Os 2.72, 4 Ru 2.73

Output
ΔE_f = 0.064 eV/atom
relative energy among the computed polymorphs = 138 meV/atom
symmetry = Cmmm, No. 65


(5)
Crystalline ReOs2Ru6 at its relaxed geometry, computed with GGA-PBE.

abc: 7.1426 7.1426 9.0569
angles: 128.96 128.96 53.34
Last column: nearest neighbours and their distance in Å.
Atoms (fractional coordinates):
Re  0.1231  0.8769  0.7500  8 Ru 2.64-2.76, 4 Os 2.69-2.81
Re  0.8769  0.1231  0.2500  8 Ru 2.64-2.76, 4 Os 2.69-2.81
Os  0.1806  0.3816  0.4349  7 Ru 2.56-2.81, 1 Os 2.65, 2 Re 2.69-2.81
Os  0.3816  0.1806  0.9349  7 Ru 2.56-2.81, 1 Os 2.65, 2 Re 2.69-2.81
Os  0.6184  0.8194  0.0651  7 Ru 2.56-2.81, 1 Os 2.65, 2 Re 2.69-2.81
Os  0.8194  0.6184  0.5651  7 Ru 2.56-2.81, 1 Os 2.65, 2 Re 2.69-2.81
Ru  0.0266  0.6481  0.9818  6 Ru 2.54-2.76, 1 Re 2.67, 2 Os 2.69-2.81
Ru  0.0550  0.7592  0.3754  6 Ru 2.54-2.81, 2 Os 2.59, 2 Re 2.70-2.76
Ru  0.2408  0.9450  0.1246  6 Ru 2.54-2.81, 2 Os 2.59, 2 Re 2.70-2.76
Ru  0.3388  0.4587  0.8065  3 Os 2.56-2.78, 5 Ru 2.61-2.81, 1 Re 2.64
Ru  0.3519  0.9734  0.5182  6 Ru 2.54-2.76, 1 Re 2.67, 2 Os 2.69-2.81
Ru  0.4587  0.3388  0.3065  3 Os 2.56-2.78, 5 Ru 2.61-2.81, 1 Re 2.64
Ru  0.5413  0.6612  0.6935  3 Os 2.56-2.78, 5 Ru 2.61-2.81, 1 Re 2.64
Ru  0.6481  0.0266  0.4818  6 Ru 2.54-2.76, 1 Re 2.67, 2 Os 2.69-2.81
Ru  0.6612  0.5413  0.1935  3 Os 2.56-2.78, 5 Ru 2.61-2.81, 1 Re 2.64
Ru  0.7592  0.0550  0.8754  6 Ru 2.54-2.81, 2 Os 2.59, 2 Re 2.70-2.76
Ru  0.9450  0.2408  0.6246  6 Ru 2.54-2.81, 2 Os 2.59, 2 Re 2.70-2.76
Ru  0.9734  0.3519  0.0182  6 Ru 2.54-2.76, 1 Re 2.67, 2 Os 2.69-2.81

Output
ΔE_f = 0.214 eV/atom
symmetry = C2/c, No. 15


(6)
Crystalline Re2OsRu at its relaxed geometry, computed with GGA-PBE.

abc: 4.7589 4.7589 4.7390
angles: 99.53 99.53 33.42
Last column: nearest neighbours and their distance in Å.
Atoms (fractional coordinates):
Re  0.2489  0.2489  0.2492  6 Re 2.73-2.74, 3 Os 2.74-2.75, 3 Ru 2.74-2.75
Re  0.7511  0.7511  0.7508  6 Re 2.73-2.74, 3 Os 2.74-2.75, 3 Ru 2.74-2.75
Os  0.5000  0.5000  0.0000  4 Ru 2.74, 2 Os 2.74, 6 Re 2.74-2.75
Ru  0.0000  0.0000  0.5000  4 Os 2.74, 2 Ru 2.74, 6 Re 2.74-2.75

Output
ΔE_f = 0.053 eV/atom
relative energy among the computed polymorphs = 144 meV/atom
symmetry = C2/m, No. 12


(7)
Crystalline ReOsRu2 at its relaxed geometry, computed with GGA-PBE.

abc: 2.7435 4.3549 4.7582
angles: 90.00 90.00 90.00
Last column: nearest neighbours and their distance in Å.
Atoms (fractional coordinates):
Re  0.0000  0.0000  0.0000  2 Os 2.68, 8 Ru 2.69-2.78, 2 Re 2.74
Os  0.0000  0.5000  0.3298  2 Re 2.68, 8 Ru 2.69-2.76, 2 Os 2.74
Ru  0.5000  0.0000  0.4910  4 Os 2.69, 4 Re 2.71-2.78, 4 Ru 2.72-2.74
Ru  0.5000  0.5000  0.8320  4 Re 2.69, 4 Ru 2.72-2.74, 4 Os 2.74-2.76

Output
ΔE_f = -0.074 eV/atom
relative energy among the computed polymorphs = 0 meV/atom
symmetry = Pmm2, No. 25


(8)
Crystalline ReOs4Ru2 at its relaxed geometry, computed with GGA-PBE.

abc: 3.8120 3.8254 7.4523
angles: 90.00 90.00 90.00
Last column: nearest neighbours and their distance in Å.
Atoms (fractional coordinates):
Re  0.0000  0.0000  0.0000  4 Ru 2.70, 8 Os 2.71-2.72
Os  0.0000  0.5000  0.2601  4 Ru 2.62-2.72, 4 Os 2.70, 2 Re 2.72
Os  0.0000  0.5000  0.7399  4 Ru 2.62-2.72, 4 Os 2.70, 2 Re 2.72
Os  0.5000  0.0000  0.2582  4 Ru 2.62-2.71, 4 Os 2.70, 2 Re 2.71
Os  0.5000  0.0000  0.7418  4 Ru 2.62-2.71, 4 Os 2.70, 2 Re 2.71
Ru  0.0000  0.0000  0.5000  8 Os 2.62
Ru  0.5000  0.5000  0.0000  4 Re 2.70, 8 Os 2.71-2.72

Output
ΔE_f = 0.545 eV/atom
symmetry = Pmmm, No. 47


(9)
Crystalline ReOs2Ru at its relaxed geometry, computed with GGA-PBE.

abc: 2.7334 2.7334 7.7152
angles: 90.00 90.00 90.00
Last column: nearest neighbours and their distance in Å.
Atoms (fractional coordinates):
Re  0.0000  0.0000  0.0000  4 Ru 2.70, 4 Re 2.73, 4 Os 2.78
Os  0.0000  0.0000  0.4984  8 Os 2.69-2.73, 4 Ru 2.75
Os  0.5000  0.5000  0.7405  8 Os 2.69-2.73, 4 Re 2.78
Ru  0.5000  0.5000  0.2443  4 Re 2.70, 4 Ru 2.73, 4 Os 2.75

Output
ΔE_f = 0.090 eV/atom
relative energy among the computed polymorphs = 155 meV/atom
symmetry = P4mm, No. 99


(10)
Crystalline Re2OsRu at its relaxed geometry, computed with GGA-PBE.

abc: 6.8188 6.8188 6.8188
angles: 131.50 131.50 71.01
Last column: nearest neighbours and their distance in Å.
Atoms (fractional coordinates):
Re  0.1230  0.6250  0.9980  2 Ru 2.41, 2 Os 2.42
Re  0.3750  0.3730  0.4980  2 Ru 2.41, 2 Os 2.42
Re  0.6270  0.1250  0.0020  2 Ru 2.41, 2 Os 2.42
Re  0.8750  0.8770  0.5020  2 Ru 2.41, 2 Os 2.42
Os  0.2500  0.7500  0.5000  4 Re 2.42
Os  0.5000  0.5000  0.0000  4 Re 2.42
Ru  0.0000  0.0000  0.0000  4 Re 2.41
Ru  0.7500  0.2500  0.5000  4 Re 2.41

Output
ΔE_f = 1.380 eV/atom
relative energy among the computed polymorphs = 1471 meV/atom
symmetry = I-42d, No. 122


(11)
Crystalline ReOs2Ru at its relaxed geometry, computed with GGA-PBE.

abc: 3.2554 3.2554 5.5867
angles: 90.00 90.00 90.00
Last column: nearest neighbours and their distance in Å.
Atoms (fractional coordinates):
Re  0.0000  0.0000  0.0000  8 Os 2.72, 2 Ru 2.79
Os  0.5000  0.5000  0.2591  4 Ru 2.67, 2 Os 2.69-2.89, 4 Re 2.72
Os  0.5000  0.5000  0.7409  4 Ru 2.67, 2 Os 2.69-2.89, 4 Re 2.72
Ru  0.0000  0.0000  0.5000  8 Os 2.67, 2 Re 2.79

Output
ΔE_f = 0.549 eV/atom
relative energy among the computed polymorphs = 614 meV/atom
symmetry = P4/mmm, No. 123


(12)
Crystalline Re2OsRu at its relaxed geometry, computed with GGA-PBE.

abc: 4.7532 4.7532 4.7480
angles: 99.63 99.63 33.48
Last column: nearest neighbours and their distance in Å.
Atoms (fractional coordinates):
Re  0.0000  0.0000  0.0000  3 Ru 2.71, 4 Os 2.74, 5 Re 2.74-2.79
Re  0.2476  0.2476  0.7310  3 Os 2.69-2.72, 4 Ru 2.73-2.75, 5 Re 2.74-2.79
Os  0.5011  0.5011  0.4994  7 Re 2.69-2.74, 2 Os 2.74, 3 Ru 2.77-2.78
Ru  0.7483  0.7483  0.2338  7 Re 2.71-2.75, 2 Ru 2.74, 3 Os 2.77-2.78

Output
ΔE_f = 0.055 eV/atom
relative energy among the computed polymorphs = 146 meV/atom
symmetry = Cm, No. 8


(13)
Crystalline ReOs2Ru at its relaxed geometry, computed with GGA-PBE.

abc: 4.3711 4.3711 4.3711
angles: 60.00 60.00 60.00
Last column: nearest neighbours and their distance in Å.
Atoms (fractional coordinates):
Re  0.0000  0.0000  0.0000  8 Os 2.68
Os  0.2500  0.2500  0.2500  4 Re 2.68, 4 Ru 2.68
Os  0.7500  0.7500  0.7500  4 Re 2.68, 4 Ru 2.68
Ru  0.5000  0.5000  0.5000  8 Os 2.68

Output
ΔE_f = 0.619 eV/atom
relative energy among the computed polymorphs = 684 meV/atom
symmetry = Fm-3m, No. 225